# 1
This record from Alexandria via LeMat-Bulk describes crystalline BiSbPt3 at its relaxed geometry. The functional is PBE.

## Properties
SG = Pm-3m
Energy above the most stable polymorph in this dataset = 459 meV per atom
Formation energy from raw total energies = 0.93 eV/atom
V = 26.2 Å³/atom

Cell lengths 5.0761, 5.0761, 5.0761 Å; angles 90.00, 90.00, 90.00 degrees
With the nearest neighbours (Å) after each atom.
Sites, in units of the cell vectors:
Pt 0.5000 0.0000 0.0000  2 Bi 2.54
Pt 0.0000 0.0000 0.5000  2 Bi 2.54
Pt 0.0000 0.5000 0.0000  2 Bi 2.54
Sb 0.5000 0.5000 0.5000  12 Pt 3.59
Bi 0.0000 0.0000 0.0000  6 Pt 2.54

=====

# 2
This record from Alexandria via LeMat-Bulk describes crystalline BiSbPt at its relaxed geometry. The functional is PBE.

## Properties
SG = Pnma
Energy above the most stable polymorph in this dataset = 52 meV per atom
Formation energy from raw total energies = -0.32 eV/atom
V = 27.4 Å³/atom

Cell lengths 4.1694, 6.9993, 11.2561 Å; angles 90.00, 90.00, 90.00 degrees
With the nearest neighbours (Å) after each atom.
Sites, in units of the cell vectors:
Sb 0.2498 0.4517 0.4845  3 Pt 2.67-2.71
Sb 0.2502 0.5483 0.9845  3 Pt 2.67-2.71
Sb 0.7498 0.0483 0.5155  3 Pt 2.67-2.71
Sb 0.7502 0.9517 0.0155  3 Pt 2.67-2.71
Pt 0.2502 0.8806 0.8679  3 Sb 2.67-2.71, 3 Bi 2.80-2.81
Pt 0.7498 0.3806 0.6321  3 Sb 2.67-2.71, 3 Bi 2.80-2.81
Pt 0.7502 0.6194 0.1321  3 Sb 2.67-2.71, 3 Bi 2.80-2.81
Pt 0.2498 0.1194 0.3679  3 Sb 2.67-2.71, 3 Bi 2.80-2.81
Bi 0.7499 0.2448 0.2192  3 Pt 2.80-2.81, 1 Sb 3.08
Bi 0.2499 0.2552 0.7808  3 Pt 2.80-2.81, 1 Sb 3.08
Bi 0.2501 0.7448 0.2808  3 Pt 2.80-2.81, 1 Sb 3.08
Bi 0.7501 0.7552 0.7192  3 Pt 2.80-2.81, 1 Sb 3.08

=====

# 3
This record from Alexandria via LeMat-Bulk describes crystalline Bi2SbPt2 at its relaxed geometry. The functional is PBE.

## Properties
SG = I4/mmm
Energy above the most stable polymorph in this dataset = 162 meV per atom
Formation energy from raw total energies = -0.04 eV/atom
V = 25.2 Å³/atom

Cell lengths 3.9086, 3.9086, 8.7086 Å; angles 77.03, 77.03, 90.00 degrees
With the nearest neighbours (Å) after each atom.
Sites, in units of the cell vectors:
Bi 0.6236 0.6236 0.7528  4 Pt 2.86
Bi 0.3764 0.3764 0.2472  4 Pt 2.86
Pt 0.2500 0.7500 0.5000  4 Pt 2.76, 4 Bi 2.86
Pt 0.7500 0.2500 0.5000  4 Pt 2.76, 4 Bi 2.86
Sb 0.0000 0.0000 0.0000  8 Bi 3.44

=====

# 4
This record from Alexandria via LeMat-Bulk describes crystalline Bi2SbPt at its relaxed geometry. The functional is PBE.

## Properties
SG = R-3m
Formation energy from raw total energies = 0.05 eV/atom
V = 31.3 Å³/atom

Cell lengths 3.8812, 3.8812, 9.8575 Å; angles 78.65, 78.65, 60.00 degrees
With the nearest neighbours (Å) after each atom.
Sites, in units of the cell vectors:
Pt 0.5000 0.5000 0.5000  6 Bi 2.78
Sb 0.0000 0.0000 0.0000  2 Bi 3.16
Bi 0.1097 0.1097 0.6708  3 Pt 2.78
Bi 0.8903 0.8903 0.3292  3 Pt 2.78